Version A
The following is a PBE calculation of a relaxed SmMgAgS3 crystal, from OQMD via LeMat-Bulk.

Cell: 6.5774 6.5774 10.7168 Å, 90.00 90.00 146.28°
Element x y z (fractional)
Sm 0.0000 0.0000 0.0000
Sm 0.0000 0.0000 0.5000
Mg 0.2350 0.7650 0.7500
Mg 0.7650 0.2350 0.2500
Ag 0.4851 0.5149 0.2500
Ag 0.5149 0.4851 0.7500
S 0.1193 0.8807 0.2500
S 0.3523 0.6477 0.0782
S 0.3523 0.6477 0.4218
S 0.6477 0.3523 0.5782
S 0.6477 0.3523 0.9218
S 0.8807 0.1193 0.7500

Summary:
Volume, Å³ per atom: 21.449
Total moment, μB per atom: 0.0001

***

Version B
The following is a PBE calculation of a relaxed SmMgAgS3 crystal, from OQMD via LeMat-Bulk.

Cell: 7.4751 3.8635 9.1094 Å, 90.00 101.03 90.00°
Element x y z (fractional)
Sm 0.1921 0.2500 0.1682
Sm 0.8079 0.7500 0.8318
Mg 0.2602 0.7500 0.7177
Mg 0.7398 0.2500 0.2823
Ag 0.3828 0.7500 0.4288
Ag 0.6172 0.2500 0.5712
S 0.0900 0.2500 0.8506
S 0.1930 0.2500 0.4884
S 0.4589 0.7500 0.1711
S 0.5411 0.2500 0.8289
S 0.8070 0.7500 0.5116
S 0.9100 0.7500 0.1494

Summary:
Volume, Å³ per atom: 21.518
Total moment, μB per atom: 0.0005

***

Most stable one: version B, least stable one: version A.

***

Version A
The following is a PBE calculation of a relaxed SmMgAgSe3 crystal, from OQMD via LeMat-Bulk.

Cell: 7.8121 3.9853 9.4877 Å, 90.00 101.11 90.00°
Element x y z (fractional)
Sm 0.1847 0.2500 0.1725
Sm 0.8153 0.7500 0.8275
Mg 0.2813 0.7500 0.7180
Mg 0.7187 0.2500 0.2820
Ag 0.3994 0.7500 0.4203
Ag 0.6006 0.2500 0.5797
Se 0.0954 0.2500 0.8505
Se 0.2055 0.2500 0.4935
Se 0.4524 0.7500 0.1570
Se 0.5476 0.2500 0.8430
Se 0.7945 0.7500 0.5065
Se 0.9046 0.7500 0.1495

Summary:
Volume, Å³ per atom: 24.154
Total moment, μB per atom: 0.0002

***

Version B
The following is a PBE calculation of a relaxed SmMgAgSe3 crystal, from OQMD via LeMat-Bulk.

Cell: 6.9090 6.9090 10.9294 Å, 90.00 90.00 146.81°
Element x y z (fractional)
Sm 0.0000 0.0000 0.0000
Sm 0.0000 0.0000 0.5000
Mg 0.2297 0.7703 0.7500
Mg 0.7703 0.2297 0.2500
Ag 0.4822 0.5178 0.2500
Ag 0.5178 0.4822 0.7500
Se 0.1178 0.8822 0.2500
Se 0.3490 0.6510 0.0744
Se 0.3490 0.6510 0.4256
Se 0.6510 0.3490 0.5744
Se 0.6510 0.3490 0.9256
Se 0.8822 0.1178 0.7500

Summary:
Volume, Å³ per atom: 23.800
Total moment, μB per atom: 0.0002

***

Most stable one: version A, least stable one: version B.